Record 1
The following is a PBE calculation of crystalline PuNbAs at its relaxed geometry, from OQMD.

E ... -8.997 eV per atom
SG ... F-43m, No. 216

Lattice parameters (Å, degrees): 4.603 4.603 4.603 60.00 60.00 60.00
Fractional coordinates of all 3 atoms:
Pu 0.000 0.000 0.000
Nb 0.250 0.250 0.250
As 0.750 0.750 0.750

Record 2
The following is a PBE calculation of crystalline AlTcNO at its relaxed geometry, from OQMD.

E ... -7.869 eV per atom
SG ... Pmc2_1, No. 26
Distance to the lowest polymorph of the same formula ... 0.296 eV per atom

Lattice parameters (Å, degrees): 3.034 5.837 4.935 90.00 90.00 90.00
Fractional coordinates of all 8 atoms:
Al 0.000 0.154 0.000
Al 0.000 0.846 0.500
Tc 0.500 0.409 0.460
Tc 0.500 0.591 0.960
N 0.500 0.265 0.844
N 0.500 0.735 0.344
O 0.000 0.141 0.366
O 0.000 0.859 0.866

Record 3
The following is a PBE calculation of crystalline ErTlHgS3 at its relaxed geometry, from OQMD.

E ... -4.200 eV per atom
SG ... Pnma, No. 62
Distance to the lowest polymorph of the same formula ... 0.056 eV per atom

Lattice parameters (Å, degrees): 12.109 4.068 12.468 90.00 90.00 90.00
Fractional coordinates of all 24 atoms:
Er 0.039 0.250 0.160
Er 0.461 0.750 0.660
Er 0.539 0.250 0.340
Er 0.961 0.750 0.840
Tl 0.147 0.250 0.525
Tl 0.353 0.750 0.025
Tl 0.647 0.250 0.975
Tl 0.853 0.750 0.475
Hg 0.247 0.750 0.318
Hg 0.253 0.250 0.818
Hg 0.747 0.750 0.182
Hg 0.753 0.250 0.682
S 0.038 0.750 0.309
S 0.086 0.250 0.935
S 0.241 0.750 0.674
S 0.259 0.250 0.174
S 0.414 0.750 0.435
S 0.462 0.250 0.809
S 0.538 0.750 0.191
S 0.586 0.250 0.565
S 0.741 0.750 0.826
S 0.759 0.250 0.326
S 0.914 0.750 0.065
S 0.962 0.250 0.691

Record 4
The following is a PBE calculation of crystalline Sm2Pt at its relaxed geometry, from OQMD.

E ... -4.591 eV per atom
SG ... Fd-3m, No. 227
Formation energy from the elements ... 0.57 eV per atom

Lattice parameters (Å, degrees): 8.806 8.806 8.806 60.00 60.00 60.00
Fractional coordinates of all 6 atoms:
Sm 0.000 0.000 0.000
Sm 0.000 0.000 0.500
Sm 0.000 0.500 0.000
Sm 0.500 0.000 0.000
Pt 0.125 0.125 0.125
Pt 0.875 0.875 0.875

Record 5
The following is a PBE calculation of crystalline YNb3B at its relaxed geometry, from OQMD.

E ... -6.598 eV per atom
SG ... P6_3/mmc, No. 194

Lattice parameters (Å, degrees): 7.414 7.414 5.324 90.00 90.00 120.00
Fractional coordinates of all 10 atoms:
Y 0.333 0.667 0.250
Y 0.667 0.333 0.750
Nb 0.100 0.550 0.750
Nb 0.450 0.550 0.750
Nb 0.450 0.900 0.750
Nb 0.550 0.100 0.250
Nb 0.550 0.450 0.250
Nb 0.900 0.450 0.250
B 0.000 0.000 0.250
B 0.000 0.000 0.750

Record 6
The following is a PBE calculation of crystalline TbTaGa at its relaxed geometry, from OQMD.

E ... -6.202 eV per atom
SG ... F-43m, No. 216

Lattice parameters (Å, degrees): 4.611 4.611 4.611 60.00 60.00 60.00
Fractional coordinates of all 3 atoms:
Tb 0.000 0.000 0.000
Ta 0.500 0.500 0.500
Ga 0.750 0.750 0.750